The following is a GGA-PBE calculation of a geometry-optimized Ba6Ga2HgN structure, from Alexandria. Values from VASP.

Summary:
Symmetry   P2_1/c, No. 14
Final energy   -58.34 eV for the cell shown
Energy relative to the elements, uncorrected   -295 meV/atom

```
&SYSTEM
  ibrav = 0, nat = 20, ntyp = 4
/
ATOMIC_SPECIES
Ba 137.33 Ba.upf
Ga 69.72 Ga.upf
Hg 200.59 Hg.upf
N 14.01 N.upf
CELL_PARAMETERS angstrom
7.890 0.000 0.000
0.000 8.867 0.000
-7.219 0.000 11.458
ATOMIC_POSITIONS angstrom
Ba -0.880 0.385 2.544
Ba -4.489 4.048 8.273
Ba 1.112 6.316 0.733
Ba -2.497 6.984 6.462
Ba 2.374 1.343 0.701
Ba -1.235 3.090 6.429
Ba 1.906 5.777 5.028
Ba -1.704 7.524 10.757
Ba 3.168 1.883 4.996
Ba -0.442 2.551 10.725
Ba 5.160 4.819 3.185
Ba 1.551 8.482 8.914
Ga -3.100 0.924 8.558
Ga 0.510 3.509 2.829
Ga 0.161 5.358 8.628
Ga 3.770 7.943 2.900
Hg 0.335 0.000 5.729
Hg 3.945 4.434 0.000
N 0.000 0.000 0.000
N -3.610 4.434 5.729
```